A geometry-optimized Sb2PCI structure, computed with GGA-PBEsol.

Crystal system: tetragonal
ΔE_f (raw) (eV per atom): 1.237

Cell: 4.858 4.858 4.498 Å, 90.00 90.00 90.00°
Sites, in units of the cell vectors:
Sb  0.000  0.500  0.000
Sb  0.500  0.000  0.000
P  0.000  0.000  0.500
C  0.500  0.500  0.000
I  0.500  0.500  0.500

---

A geometry-optimized CdNiP2 structure, computed with GGA-PBEsol.

Crystal system: monoclinic
DFT formation energy (kJ per mole of atoms): -1.51

Cell: 3.768 3.195 5.836 Å, 90.00 108.50 90.00°
Sites, in units of the cell vectors:
Cd  0.000  0.000  0.000
Ni  0.623  0.500  0.250
P  0.206  0.500  0.478
P  0.615  0.000  0.533

---

A geometry-optimized Fe2Co structure, computed with GGA-PBEsol.

Crystal system: orthorhombic
DFT formation energy (kJ per mole of atoms): 1.47

Cell: 4.643 4.643 3.953 Å, 90.00 90.00 129.55°
Sites, in units of the cell vectors:
Fe  0.000  0.000  0.000
Fe  0.168  0.832  0.500
Fe  0.500  0.500  0.500
Fe  0.832  0.168  0.500
Co  0.334  0.666  0.000
Co  0.666  0.334  0.000

---

A geometry-optimized LaTcTeRh2 structure, computed with GGA-PBEsol.

Crystal system: tetragonal
ΔE_f (raw) (eV per atom): 0.190

Cell: 4.692 4.692 5.096 Å, 90.00 90.00 90.00°
Sites, in units of the cell vectors:
La  0.000  0.000  0.000
Tc  0.500  0.500  0.500
Te  0.500  0.500  0.000
Rh  0.000  0.500  0.500
Rh  0.500  0.000  0.500

---

What did we get for N(E_F)? Answer: 3.37; 1.12; 3.79; 5.71 states/eV/cell, in the order shown.
What did we get for M_tot? Answer: 0.0; 0.0; 13.6; 0.0 μB/cell, in the order shown.